DFT (SCAN) results for a PBEsol-optimized structure of CaMgRe2.

Lattice parameters (Å, degrees): 3.283 4.355 4.799 90.00 90.00 90.00
Space group Pmmm (No. 47)
Symmetry-distinct sites (fractional):
Ca1 0.000 0.000 0.000 x1
Mg1 0.500 0.500 0.000 x1
Re1 0.000 0.500 0.500 x1
Re2 0.500 0.000 0.500 x1

## Properties
Its crystal system is orthorhombic. The value obtained for the formation energy is 2.39 eV per formula unit. The density of states at the Fermi level comes out at 2.28 states/eV/cell. The calculation puts the total moment at 0.00 μB/cell.